Entry 1:
Material: Sb3AsOs
Method: DFT, PBE
State: optimized geometry

Summary:
Space group: No. 221
Relative energy among the computed polymorphs in meV per atom: 927
Density in Mg/m³: 7.57

a = 5.171 Å, b = 5.171 Å, c = 5.171 Å
α = 90.00°, β = 90.00°, γ = 90.00°
Fractional coordinates of all 5 atoms:
Sb 0.000 0.000 0.500
Sb 0.000 0.500 0.000
Sb 0.500 0.000 0.000
As 0.000 0.000 0.000
Os 0.500 0.500 0.500

=====

Entry 2:
Material: CrFe2P
Method: DFT, PBE
State: optimized geometry

Summary:
Space group: No. 119
Energy of formation from the pure elements in meV per atom: -143
Density in Mg/m³: 7.51

a = 4.380 Å, b = 4.380 Å, c = 4.380 Å
α = 133.83°, β = 133.83°, γ = 67.36°
Fractional coordinates of all 4 atoms:
Cr 0.000 0.000 0.000
Fe 0.250 0.750 0.500
Fe 0.500 0.500 0.000
P 0.750 0.250 0.500

=====

Entry 3:
Material: LiZr2CuAs
Method: DFT, PBE
State: optimized geometry

Summary:
Space group: No. 123
Energy of formation from the pure elements in meV per atom: 216
Density in Mg/m³: 4.71

a = 5.113 Å, b = 5.113 Å, c = 4.425 Å
α = 90.00°, β = 90.00°, γ = 90.00°
Fractional coordinates of all 5 atoms:
Li 0.000 0.000 0.000
Zr 0.000 0.500 0.500
Zr 0.500 0.000 0.500
Cu 0.500 0.500 0.000
As 0.500 0.500 0.500

=====

Entry 4:
Material: Tb12DyEr6
Method: DFT, PBE
State: optimized geometry

Summary:
Space group: No. 148
Relative energy among the computed polymorphs in meV per atom: 96
Energy of formation from the pure elements in meV per atom: 249
Density in Mg/m³: 8.14

a = 9.058 Å, b = 9.058 Å, c = 9.058 Å
α = 106.54°, β = 106.54°, γ = 106.54°
Fractional coordinates of all 19 atoms:
Tb 0.138 0.279 0.827
Tb 0.173 0.862 0.721
Tb 0.191 0.482 0.579
Tb 0.279 0.827 0.138
Tb 0.421 0.809 0.518
Tb 0.482 0.579 0.191
Tb 0.518 0.421 0.809
Tb 0.579 0.191 0.482
Tb 0.721 0.173 0.862
Tb 0.809 0.518 0.421
Tb 0.827 0.138 0.279
Tb 0.862 0.721 0.173
Dy 0.000 0.000 0.000
Er 0.076 0.455 0.188
Er 0.188 0.076 0.455
Er 0.455 0.188 0.076
Er 0.545 0.812 0.924
Er 0.812 0.924 0.545
Er 0.924 0.545 0.812

=====

Entry 5:
Material: NaBBr2
Method: DFT, PBE
State: optimized geometry

Summary:
Space group: No. 225
Relative energy among the computed polymorphs in meV per atom: 163
Density in Mg/m³: 3.50

a = 5.064 Å, b = 5.064 Å, c = 5.064 Å
α = 60.00°, β = 60.00°, γ = 60.00°
Fractional coordinates of all 4 atoms:
Na 0.000 0.000 0.000
B 0.500 0.500 0.500
Br 0.250 0.250 0.250
Br 0.750 0.750 0.750

=====

Entry 6:
Material: MgZrIr2
Method: DFT, PBE
State: optimized geometry

Summary:
Space group: No. 44
Energy of formation from the pure elements in meV per atom: -518
Density in Mg/m³: 12.42

a = 5.216 Å, b = 5.216 Å, c = 5.216 Å
α = 136.38°, β = 136.21°, γ = 63.53°
Fractional coordinates of all 4 atoms:
Mg 0.000 0.000 0.000
Zr 0.250 0.750 0.500
Ir 0.500 0.500 0.000
Ir 0.750 0.250 0.500